# YAlAu

YAlAu after structural relaxation (PBEsol, Alexandria).

a = 7.1224 Å, b = 4.4299 Å, c = 7.6818 Å
α = 90.00°, β = 90.00°, γ = 90.00°
With the nearest neighbours (Å) after each atom.
Fractional coordinates of all 12 atoms:
Y  0.0076  0.2500  0.1973  5 Au 3.00-3.16, 6 Al 3.09-3.29
Y  0.4924  0.7500  0.6973  5 Au 3.00-3.16, 6 Al 3.09-3.29
Y  0.5076  0.2500  0.3027  5 Au 3.00-3.16, 6 Al 3.09-3.29
Y  0.9924  0.7500  0.8027  5 Au 3.00-3.16, 6 Al 3.09-3.29
Al  0.1747  0.2500  0.5791  4 Au 2.60-2.75
Al  0.3253  0.7500  0.0791  4 Au 2.60-2.75
Al  0.6747  0.2500  0.9209  4 Au 2.60-2.75
Al  0.8253  0.7500  0.4209  4 Au 2.60-2.75
Au  0.2110  0.7500  0.4061  4 Al 2.60-2.75
Au  0.2890  0.2500  0.9061  4 Al 2.60-2.75
Au  0.7110  0.7500  0.0939  4 Al 2.60-2.75
Au  0.7890  0.2500  0.5939  4 Al 2.60-2.75

- Electronic total energy: -69.53 eV/cell
- Space-group type: Pnma
- ΔH_f (0 K): -848 meV per atom